Below is an optimized crystal structure of MnOsNO2, with properties calculated at the GGA+U level.

Cell: 3.636 5.939 3.636 Å, 90.00 90.00 90.00°
Site moments in Bohr magnetons follow the coordinates.
Sites, in units of the cell vectors:
Mn (0.000, 0.500, 0.000)  4.61
Os (0.000, 0.000, 0.000)  -0.06
O (0.000, 0.000, 0.500)  0.00
O (0.500, 0.000, 0.000)  -0.01
N (0.500, 0.500, 0.500)  -0.91

Properties
mass density = 6.158 g/cm³
total DFT energy (no corrections) = -36.34 eV per formula unit